No. 1
# SbIr2Au

A relaxed structure of SbIr2Au (PBE-GGA, Alexandria).

Structure (POSCAR):
```
SbIr2Au
1.0
4.2332 0.0000 0.0000
0.0000 4.2370 0.0011
0.0000 -0.0008 3.7698
Au Ir Sb
1 2 1
direct
0.5000 0.8750 0.6250
0.0000 0.8750 0.1248
0.5000 0.3750 0.1252
0.0000 0.3750 0.6250
```

Values from the calculation:
SG = No. 123
M_tot = 0.0 μB/f.u.
energy relative to the elements, uncorrected = 0.28 eV/atom
calculated volume = 16.90 A^3/atom
theoretical density = 17.269 g/cm3

No. 2
# TlRe2Se

A relaxed structure of TlRe2Se (PBE-GGA, Alexandria).

Structure (POSCAR):
```
TlRe2Se
1.0
4.8782 -0.0053 0.0000
1.1060 4.7512 0.0000
-2.9921 -2.3730 3.0353
Re Se Tl
2 1 1
direct
0.0000 0.0000 0.0000
0.2500 0.7500 0.5000
0.5000 0.5000 0.0000
0.7500 0.2500 0.5000
```

Values from the calculation:
SG = No. 119
M_tot = 0.0 μB/f.u.
distance to the lowest polymorph of the same formula = 0.733 eV/atom
energy relative to the elements, uncorrected = 1.11 eV/atom
calculated volume = 17.59 A^3/atom
theoretical density = 15.474 g/cm3

No. 3
# SbMoOs3

A relaxed structure of SbMoOs3 (PBE-GGA, Alexandria).

Structure (POSCAR):
```
SbMoOs3
1.0
-2.7944 -1.8224 -3.3831
-3.1766 -1.2584 3.3017
-2.1624 4.2037 -0.4783
Sb Mo Os
1 1 3
direct
0.0000 0.0000 0.0000
0.5000 0.5000 0.5000
0.0000 0.5000 0.0000
0.0000 0.0000 0.5000
0.5000 0.0000 0.0000
```

Values from the calculation:
SG = No. 221
M_tot = 2.1 μB/f.u.
distance to the lowest polymorph of the same formula = 0.603 eV/atom
energy relative to the elements, uncorrected = 2.64 eV/atom
calculated volume = 21.45 A^3/atom
theoretical density = 12.205 g/cm3

No. 4
# PmNd8Ho2

A relaxed structure of PmNd8Ho2 (PBE-GGA, Alexandria).

Structure (POSCAR):
```
PmNd8Ho2
1.0
0.0522 2.2450 -5.2572
-8.3003 -5.8751 -1.9719
-10.3283 0.3965 0.6861
Pm Nd Ho
1 8 2
direct
0.0000 0.0000 0.0000
0.2680 0.1351 0.5994
0.2680 0.5994 0.1351
0.7320 0.8649 0.4006
0.2376 0.5446 0.5446
0.7320 0.4006 0.8649
0.2310 0.1875 0.1875
0.7690 0.8125 0.8125
0.7624 0.4554 0.4554
0.7449 0.2845 0.2845
0.2551 0.7155 0.7155
```

Values from the calculation:
SG = No. 12
M_tot = 0.0 μB/f.u.
distance to the lowest polymorph of the same formula = 0.132 eV/atom
energy of formation from the pure elements = 0.1480 eV per atom
calculated volume = 35.88 A^3/atom
theoretical density = 6.853 g/cm3

No. 5
# ZnFeRu2

A relaxed structure of ZnFeRu2 (PBE-GGA, Alexandria).

Structure (POSCAR):
```
ZnFeRu2
1.0
5.1383 -0.1468 -0.0221
2.5909 4.4397 0.0221
-3.3085 -3.1477 2.3601
Fe Ru Zn
1 2 1
direct
0.7500 0.2500 0.5000
0.9779 0.9779 0.0000
0.5221 0.5221 0.0000
0.2500 0.7500 0.5000
```

Values from the calculation:
SG = No. 71
M_tot = 2.8 μB/f.u.
energy of formation from the pure elements = 0.1768 eV per atom
calculated volume = 13.74 A^3/atom
theoretical density = 9.771 g/cm3

No. 6
# Ag2TeIr

A relaxed structure of Ag2TeIr (PBE-GGA, Alexandria).

Structure (POSCAR):
```
Ag2TeIr
1.0
-1.3708 3.4407 -1.4473
-1.2963 -1.8847 -3.2527
-4.1429 -0.7687 2.0964
Ir Te Ag
1 1 2
direct
0.5000 0.0000 0.5000
0.0000 0.5000 0.5000
0.0000 0.0000 0.0000
0.5000 0.5000 0.0000
```

Values from the calculation:
SG = No. 123
M_tot = 0.0 μB/f.u.
energy relative to the elements, uncorrected = 0.36 eV/atom
calculated volume = 18.60 A^3/atom
theoretical density = 11.950 g/cm3

No. 7
# FeTcW

A relaxed structure of FeTcW (PBE-GGA, Alexandria).

Structure (POSCAR):
```
FeTcW
1.0
4.0386 0.0000 0.0000
2.0193 3.4975 0.0000
2.0193 1.1658 3.2975
Fe Tc W
1 1 1
direct
0.7500 0.7500 0.7500
0.0000 0.0000 0.0000
0.5000 0.5000 0.5000
```

Values from the calculation:
SG = No. 216
M_tot = 0.4 μB/f.u.
distance to the lowest polymorph of the same formula = 0.547 eV/atom
energy of formation from the pure elements = 0.6227 eV per atom
calculated volume = 15.53 A^3/atom
theoretical density = 12.039 g/cm3

No. 8
# BaTa2Mo

A relaxed structure of BaTa2Mo (PBE-GGA, Alexandria).

Structure (POSCAR):
```
BaTa2Mo
1.0
4.2731 0.0000 0.0000
0.0000 3.0739 0.0053
0.0000 1.3978 7.5953
Ba Mo Ta
1 1 2
direct
0.5000 0.2500 0.2500
0.5000 0.7500 0.7500
0.0000 0.9988 0.9062
0.0000 0.5012 0.5938
```

Values from the calculation:
SG = No. 10
M_tot = 0.0 μB/f.u.
distance to the lowest polymorph of the same formula = 0.166 eV/atom
energy of formation from the pure elements = 0.7024 eV per atom
calculated volume = 24.93 A^3/atom
theoretical density = 9.909 g/cm3

No. 9
# La2Nd6DyEr3

A relaxed structure of La2Nd6DyEr3 (PBE-GGA, Alexandria).

Structure (POSCAR):
```
La2Nd6DyEr3
1.0
6.1474 -0.0042 0.0233
-3.0758 5.3226 0.0233
-1.0746 -1.8607 12.6053
La Nd Dy Er
2 6 1 3
direct
0.3332 0.6668 0.0000
0.6668 0.3332 0.0000
0.0786 0.7465 0.2361
0.5889 0.5889 0.7638
0.9214 0.2535 0.7639
0.7465 0.0786 0.2361
0.4111 0.4111 0.2362
0.2535 0.9214 0.7639
0.0000 0.0000 0.0000
0.1660 0.8340 0.5000
0.8340 0.1660 0.5000
0.5000 0.5000 0.5000
```

Values from the calculation:
SG = No. 12
M_tot = 0.0 μB/f.u.
energy of formation from the pure elements = 0.1912 eV per atom
calculated volume = 34.40 A^3/atom
theoretical density = 7.271 g/cm3

No. 10
# Ba3NpS5

A relaxed structure of Ba3NpS5 (PBE-GGA, Alexandria).

Structure (POSCAR):
```
Ba3NpS5
1.0
-7.9618 -0.3309 -3.1680
2.7557 -4.9929 -6.4042
1.1937 -3.4821 8.9696
Ba Np S
6 2 10
direct
0.6622 0.1622 0.0000
0.3378 0.8378 0.0000
0.8378 0.6622 0.0000
0.1622 0.3378 0.0000
0.2500 0.2500 0.5000
0.7500 0.7500 0.5000
0.7500 0.2500 0.5000
0.2500 0.7500 0.5000
0.0159 0.5159 0.7094
0.6935 0.1935 0.7094
0.1935 0.0159 0.7094
0.5159 0.6935 0.7094
0.9841 0.4841 0.2906
0.3065 0.8065 0.2906
0.8065 0.9841 0.2906
0.4841 0.3065 0.2906
0.5000 0.5000 0.0000
0.0000 0.0000 0.0000
```

Values from the calculation:
SG = No. 140
M_tot = 3.0 μB/f.u.
energy relative to the elements, uncorrected = -1.63 eV/atom
calculated volume = 30.91 A^3/atom
theoretical density = 4.831 g/cm3

No. 11
# DyNpCo10

A relaxed structure of DyNpCo10 (PBE-GGA, Alexandria).

Structure (POSCAR):
```
DyNpCo10
1.0
3.9816 0.0000 0.0000
0.0000 4.8895 0.0000
0.0000 0.0000 8.3761
Dy Np Co
1 1 10
direct
0.0000 0.0000 0.0000
0.0000 0.5000 0.5000
0.0000 0.0000 0.3441
0.0000 0.5000 0.8147
0.0000 0.5000 0.1853
0.0000 0.0000 0.6559
0.5000 0.0000 0.5000
0.5000 0.5000 0.0000
0.5000 0.2476 0.2500
0.5000 0.7524 0.7500
0.5000 0.7524 0.2500
0.5000 0.2476 0.7500
```

Values from the calculation:
SG = No. 47
M_tot = 10.1 μB/f.u.
energy of formation from the pure elements = -0.0745 eV per atom
calculated volume = 13.59 A^3/atom
theoretical density = 10.070 g/cm3

No. 12
# BaSm2SnN4

A relaxed structure of BaSm2SnN4 (PBE-GGA, Alexandria).

Structure (POSCAR):
```
BaSm2SnN4
1.0
3.6085 0.0000 0.0000
-1.8043 6.3240 0.0000
0.0000 0.0000 12.5454
Ba Sm Sn N
2 4 2 8
direct
0.0978 0.1956 0.7500
0.9022 0.8044 0.2500
0.3700 0.7401 0.5340
0.6300 0.2599 0.0340
0.6300 0.2599 0.4660
0.3700 0.7401 0.9660
0.8310 0.6620 0.7500
0.1690 0.3380 0.2500
0.2583 0.5166 0.1133
0.7417 0.4834 0.6133
0.7417 0.4834 0.8867
0.2583 0.5166 0.3867
0.0000 0.0000 0.5000
0.0000 0.0000 0.0000
0.4251 0.8502 0.7500
0.5749 0.1498 0.2500
```

Values from the calculation:
SG = No. 63
M_tot = 0.0 μB/f.u.
energy relative to the elements, uncorrected = -0.80 eV/atom
calculated volume = 17.89 A^3/atom
theoretical density = 7.109 g/cm3

No. 13
# Pr2HfO5

A relaxed structure of Pr2HfO5 (PBE-GGA, Alexandria).

Structure (POSCAR):
```
Pr2HfO5
1.0
3.8848 0.0000 0.0000
0.0000 7.7412 0.0000
0.0000 0.0000 16.4137
Pr Hf O
8 4 20
direct
0.7500 0.4024 0.4130
0.7500 0.3655 0.7612
0.2500 0.1345 0.2612
0.2500 0.0976 0.9130
0.7500 0.9024 0.0870
0.7500 0.8655 0.7388
0.2500 0.6345 0.2388
0.2500 0.5976 0.5870
0.7500 0.3787 0.0703
0.2500 0.1213 0.5703
0.7500 0.8787 0.4297
0.2500 0.6213 0.9297
0.2500 0.4001 0.3247
0.2500 0.4169 0.0372
0.2500 0.4091 0.8484
0.2500 0.3482 0.4995
0.7500 0.2100 0.1668
0.2500 0.2900 0.6668
0.7500 0.1518 0.9995
0.7500 0.0909 0.3484
0.7500 0.0831 0.5372
0.7500 0.0999 0.8247
0.2500 0.9001 0.1753
0.2500 0.9169 0.4628
0.2500 0.9091 0.6516
0.2500 0.8482 0.0005
0.7500 0.7100 0.3332
0.2500 0.7900 0.8332
0.7500 0.6518 0.5005
0.7500 0.5909 0.1516
0.7500 0.5831 0.9628
0.7500 0.5999 0.6753
```

Values from the calculation:
SG = No. 62
M_tot = 0.0 μB/f.u.
energy relative to the elements, uncorrected = -3.43 eV/atom
calculated volume = 15.43 A^3/atom
theoretical density = 7.270 g/cm3

No. 14
# Pu3PdO

A relaxed structure of Pu3PdO (PBE-GGA, Alexandria).

Structure (POSCAR):
```
Pu3PdO
1.0
4.7878 0.0000 0.0000
0.0000 4.7878 0.0000
0.0000 0.0000 4.7878
O Pd Pu
1 1 3
direct
0.0000 0.0000 0.0000
0.5000 0.5000 0.5000
0.0000 0.5000 0.0000
0.0000 0.0000 0.5000
0.5000 0.0000 0.0000
```

Values from the calculation:
SG = No. 221
M_tot = 18.2 μB/f.u.
energy relative to the elements, uncorrected = -0.94 eV/atom
calculated volume = 21.95 A^3/atom
theoretical density = 12.928 g/cm3

No. 15
# CeTm2ReC4

A relaxed structure of CeTm2ReC4 (PBE-GGA, Alexandria).

Structure (POSCAR):
```
CeTm2ReC4
1.0
-2.4263 -0.4255 2.4732
4.3565 -4.3640 1.0598
5.9338 7.6573 7.1387
Ce Tm Re C
2 4 2 8
direct
0.0943 0.1886 0.7500
0.9057 0.8114 0.2500
0.3717 0.7435 0.5396
0.6283 0.2565 0.0396
0.6283 0.2565 0.4604
0.3717 0.7435 0.9604
0.8331 0.6662 0.7500
0.1669 0.3338 0.2500
0.2648 0.5295 0.1279
0.7352 0.4705 0.6279
0.7352 0.4705 0.8721
0.2648 0.5295 0.3721
0.0000 0.0000 0.5000
0.0000 0.0000 0.0000
0.4217 0.8434 0.7500
0.5783 0.1566 0.2500
```

Values from the calculation:
SG = No. 63
M_tot = 0.8 μB/f.u.
energy of formation from the pure elements = -0.1269 eV per atom
calculated volume = 15.77 A^3/atom
theoretical density = 9.372 g/cm3

No. 16
# AgHg2Cl5

A relaxed structure of AgHg2Cl5 (PBE-GGA, Alexandria).

Structure (POSCAR):
```
AgHg2Cl5
1.0
-4.2885 2.9274 1.5016
3.8560 -2.2809 5.7307
7.1021 10.6758 -0.5297
Ag Hg Cl
2 4 10
direct
0.7807 0.5614 0.7500
0.2193 0.4386 0.2500
0.8665 0.7329 0.4374
0.8665 0.7329 0.0626
0.1335 0.2671 0.5626
0.1335 0.2671 0.9374
0.9415 0.8830 0.8787
0.9415 0.8830 0.6213
0.3195 0.6389 0.4366
0.3195 0.6389 0.0634
0.7795 0.5590 0.2500
0.2205 0.4410 0.7500
0.6805 0.3611 0.5634
0.6805 0.3611 0.9366
0.0585 0.1170 0.1213
0.0585 0.1170 0.3787
```

Values from the calculation:
SG = No. 63
M_tot = 0.0 μB/f.u.
energy relative to the elements, uncorrected = -0.50 eV/atom
calculated volume = 29.28 A^3/atom
theoretical density = 4.866 g/cm3

No. 17
# K2Tl6AgPd

A relaxed structure of K2Tl6AgPd (PBE-GGA, Alexandria).

Structure (POSCAR):
```
K2Tl6AgPd
1.0
-4.9177 3.8784 4.3923
-1.3925 -2.3235 7.1540
7.3774 7.7791 8.0523
K Tl Ag Pd
4 12 2 2
direct
0.8917 0.8917 0.3248
0.1083 0.1083 0.6752
0.7192 0.7192 0.8424
0.2808 0.2808 0.1576
0.9151 0.3402 0.4045
0.3402 0.9151 0.4045
0.3402 0.3402 0.4045
0.0849 0.6598 0.5955
0.6598 0.0849 0.5955
0.6598 0.6598 0.5955
0.6591 0.2205 0.8998
0.2205 0.6591 0.8998
0.2205 0.2205 0.8998
0.3409 0.7795 0.1002
0.7795 0.3409 0.1002
0.7795 0.7795 0.1002
0.5744 0.5744 0.2767
0.4256 0.4256 0.7233
0.0000 0.0000 0.0000
0.5000 0.5000 0.5000
```

Values from the calculation:
SG = No. 166
M_tot = 0.0 μB/f.u.
energy of formation from the pure elements = -0.0351 eV per atom
calculated volume = 32.08 A^3/atom
theoretical density = 7.862 g/cm3

No. 18
# ThMgIn

A relaxed structure of ThMgIn (PBE-GGA, Alexandria).

Structure (POSCAR):
```
ThMgIn
1.0
-2.9587 -1.1382 1.5737
-1.5161 -0.4387 -3.1678
4.4286 -5.2088 0.5790
Mg Th In
1 1 1
direct
0.9334 0.9334 0.8667
0.6173 0.6173 0.2346
0.2993 0.2993 0.5987
```

Values from the calculation:
SG = No. 107
M_tot = 0.0 μB/f.u.
energy of formation from the pure elements = -0.1059 eV per atom
calculated volume = 26.68 A^3/atom
theoretical density = 7.702 g/cm3

What did we get for total DFT energy (no corrections)? Answer: -6.00 -6.57 -7.09 -4.58 -6.90 -4.07 -9.97 -8.41 -4.54 -6.01 -7.46 -6.89 -8.97 -11.57 -8.15 -2.09 -2.48 -4.02 eV per atom, in the order shown.